1.
This record from Alexandria via LeMat-Bulk describes crystalline NiTe2IrN at its relaxed geometry. The functional is GGA-PBE.

Cell lengths 5.1686, 5.1686, 3.3371 Å; angles 90.00, 90.00, 90.00 degrees
Last column: nearest neighbours and their distance in Å.
Space group P4/mmm (No. 123)
Symmetry-distinct sites (fractional):
Ni 0.0000 0.0000 0.0000 (multiplicity 1)  2 N 1.67
Te 0.0000 0.5000 0.0000 (multiplicity 2)  2 Ni 2.58
Ir 0.5000 0.5000 0.5000 (multiplicity 1)  8 Te 3.08, 2 Ir 3.34
N 0.0000 0.0000 0.5000 (multiplicity 1)  2 Ni 1.67

Values from the calculation:
The value obtained for the density of states at the Fermi level is 1.493 states/eV/f.u. The value obtained for the density is 9.7 g/cm³. The crystal system is tetragonal. As for the energy above the lowest structure with this stoichiometry: 36.6 meV per atom. The magnetic moment is 0.000 μB per cell. The calculation puts the formation energy without anion corrections at 0.66 eV/atom. As for the total energy: -25.96 eV per cell.

2.
This record from Alexandria via LeMat-Bulk describes crystalline NiTe2IrN at its relaxed geometry. The functional is GGA-PBE.

Cell lengths 5.4446, 5.4446, 3.6086 Å; angles 90.00, 90.00, 90.00 degrees
Last column: nearest neighbours and their distance in Å.
Space group P4/mmm (No. 123)
Symmetry-distinct sites (fractional):
Ni 0.0000 0.0000 0.0000 (multiplicity 1)  8 Te 3.27, 2 Ni 3.61
Te 0.0000 0.5000 0.5000 (multiplicity 2)  2 Ir 2.72
Ir 0.5000 0.5000 0.5000 (multiplicity 1)  2 N 1.80
N 0.5000 0.5000 0.0000 (multiplicity 1)  2 Ir 1.80

Values from the calculation:
The value obtained for the density of states at the Fermi level is 3.547 states/eV/f.u. The value obtained for the density is 8.1 g/cm³. The crystal system is tetragonal. As for the energy above the lowest structure with this stoichiometry: 0.0 meV per atom. The magnetic moment is 0.005 μB per cell. The calculation puts the formation energy without anion corrections at 0.62 eV/atom. As for the total energy: -26.14 eV per cell.

3.
This record from Alexandria via LeMat-Bulk describes crystalline V2NiIrN at its relaxed geometry. The functional is GGA-PBE.

Cell lengths 3.9109, 3.9109, 3.7926 Å; angles 90.00, 90.00, 90.00 degrees
Last column: nearest neighbours and their distance in Å.
Space group P4/mmm (No. 123)
Symmetry-distinct sites (fractional):
V 0.0000 0.5000 0.0000 (multiplicity 2)  2 N 1.96
Ni 0.0000 0.0000 0.5000 (multiplicity 1)  2 N 1.90
Ir 0.5000 0.5000 0.5000 (multiplicity 1)  8 V 2.72, 4 Ni 2.77
N 0.0000 0.0000 0.0000 (multiplicity 1)  2 Ni 1.90, 4 V 1.96

Values from the calculation:
The value obtained for the density of states at the Fermi level is 3.912 states/eV/f.u. The value obtained for the density is 10.5 g/cm³. The crystal system is tetragonal. The magnetic moment is 0.000 μB per cell. The calculation puts the formation energy without anion corrections at -0.49 eV/atom. As for the total energy: -43.68 eV per cell.

- Among the records above, which one has the highest magnetic moment?
  number 2